A relaxed structure of TiSiRhCl2. Source: the Alexandria database, functional PBE.

Output
Formation energy from raw total energies (eV/f.u.): 0.56
Uncorrected energy (eV per formula unit): -23.804
Space-group type: No. 123
ρ (g cm⁻³): 3.97
Size of the total moment (μB/cell): 0.0
Fermi-level density of states (states/eV/cell): 4.0

Cell and atoms, written as POSCAR:
```
TiSiRhCl2
1.0
4.563 0.000 0.000
0.000 4.563 0.000
0.000 0.000 5.013
Ti Si Rh Cl
1 1 1 2
Direct
0.000 0.000 0.000
0.500 0.500 0.500
0.000 0.000 0.500
0.000 0.500 0.000
0.500 0.000 0.000
```